[1]
A plane-wave DFT calculation with PBE was carried out for a relaxed YPuSc crystal.

abc: 5.3808 9.3190 6.7141
angles: 90.00 90.00 90.00
Space group Cmcm (No. 63)
Unique sites:
Y: 0.0000 0.0000 0.0000 x4
Pu: 0.0000 0.3329 0.2500 x4
Sc: 0.0000 0.3336 0.7500 x4

As for the uncorrected energy: -105.63 eV per cell. Its crystal system is orthorhombic. The energy of formation from the pure elements comes out at 0.2399 eV per atom.

***

[2]
A plane-wave DFT calculation with PBE was carried out for a relaxed PuSc2Zn crystal.

abc: 3.1939 3.1939 31.8974
angles: 90.00 90.00 120.00
Space group R-3m (No. 166, hexagonal axes)
Unique sites:
Pu: 0.0000 0.0000 0.0000 x3
Sc: 0.0000 0.0000 0.0978 x6
Zn: 0.0000 0.0000 0.5000 x3

As for the uncorrected energy: -82.80 eV per cell. Its crystal system is trigonal. The energy of formation from the pure elements comes out at 0.1670 eV per atom.